An optimized crystal structure of Pr6NdDy3Tm2, computed with PBE.

abc: 6.311 6.311 11.911
angles: 95.06 95.06 120.00
Positions (direct):
1 Pr 0.916 0.582 0.749
2 Pr 0.750 0.750 0.250
3 Pr 0.084 0.418 0.251
4 Pr 0.582 0.916 0.749
5 Pr 0.250 0.250 0.750
6 Pr 0.418 0.084 0.251
7 Nd 0.000 0.000 0.000
8 Dy 0.167 0.833 0.500
9 Dy 0.833 0.167 0.500
10 Dy 0.500 0.500 0.500
11 Tm 0.333 0.667 0.000
12 Tm 0.667 0.333 0.000

Calculated values
The calculation puts the energy of formation from the pure elements at 0.0136 eV/atom. For the total DFT energy (no corrections), the calculation gives -4.669 eV/atom.